# La3Ni3Ge (PBE, relaxed)
data_La3Ni3Ge
_chemical_formula_sum 'La12 Ni12 Ge4'
_symmetry_space_group_name_H-M 'C 1 2/m 1'
_symmetry_Int_Tables_number 12
_symmetry_space_group_name_Hall '-C 2y'
_cell_length_a 10.955
_cell_length_b 4.138
_cell_length_c 14.512
_cell_angle_alpha 90.00
_cell_angle_beta 110.51
_cell_angle_gamma 90.00
loop_
_atom_site_label
_atom_site_type_symbol
_atom_site_fract_x
_atom_site_fract_y
_atom_site_fract_z
La1 La 0.028 0.000 0.386
La2 La 0.100 0.000 0.924
La3 La 0.243 0.000 0.230
Ni1 Ni 0.054 0.500 0.235
Ni2 Ni 0.106 0.500 0.076
Ni3 Ni 0.141 0.500 0.539
Ge1 Ge 0.245 0.500 0.401
# raw total energy	-0.20943	Ha/atom
# crystal system	monoclinic
# energy of formation	-3.15	eV per formula unit
# total magnetic moment	0.00	μB per atom

***

# CsGe3Pb (PBE, relaxed)
data_CsGe3Pb
_chemical_formula_sum 'Cs1 Ge3 Pb1'
_symmetry_space_group_name_H-M 'P m -3 m'
_symmetry_Int_Tables_number 221
_symmetry_space_group_name_Hall '-P 4 2 3'
_cell_length_a 5.735
_cell_length_b 5.735
_cell_length_c 5.735
_cell_angle_alpha 90.00
_cell_angle_beta 90.00
_cell_angle_gamma 90.00
loop_
_atom_site_label
_atom_site_type_symbol
_atom_site_fract_x
_atom_site_fract_y
_atom_site_fract_z
Cs1 Cs 0.000 0.000 0.000
Ge1 Ge 0.000 0.000 0.500
Pb1 Pb 0.500 0.500 0.500
# raw total energy	-0.07611	Ha/atom
# crystal system	cubic
# relative energy among the computed polymorphs	0.961	eV/atom
# energy of formation	8.06	eV per formula unit
# total magnetic moment	0.00	μB per atom

***

# CaZn2Ni (PBE, relaxed)
data_CaZn2Ni
_chemical_formula_sum 'Ca1 Zn2 Ni1'
_symmetry_space_group_name_H-M 'P 1 m 1'
_symmetry_Int_Tables_number 6
_symmetry_space_group_name_Hall 'P -2y'
_cell_length_a 3.491
_cell_length_b 4.002
_cell_length_c 5.738
_cell_angle_alpha 90.00
_cell_angle_beta 107.53
_cell_angle_gamma 90.00
loop_
_atom_site_label
_atom_site_type_symbol
_atom_site_fract_x
_atom_site_fract_y
_atom_site_fract_z
Ca1 Ca 0.000 0.000 0.000
Zn1 Zn 0.293 0.500 0.588
Zn2 Zn 0.729 0.000 0.465
Ni1 Ni 0.616 0.500 0.231
# raw total energy	-0.09709	Ha/atom
# crystal system	monoclinic
# energy of formation	-0.24	eV per formula unit
# total magnetic moment	0.00	μB per atom

***

# Rb2U6Pt4Se17 (PBE, relaxed)
data_Rb2U6Pt4Se17
_chemical_formula_sum 'Rb4 U12 Pt8 Se34'
_symmetry_space_group_name_H-M 'P 4/m n c'
_symmetry_Int_Tables_number 128
_symmetry_space_group_name_Hall '-P 4 2n'
_cell_length_a 10.706
_cell_length_b 10.706
_cell_length_c 13.384
_cell_angle_alpha 90.00
_cell_angle_beta 90.00
_cell_angle_gamma 90.00
loop_
_atom_site_label
_atom_site_type_symbol
_atom_site_fract_x
_atom_site_fract_y
_atom_site_fract_z
Rb1 Rb 0.000 0.000 0.220
U1 U 0.000 0.500 0.250
U2 U 0.117 0.243 0.500
Pt1 Pt 0.068 0.635 0.000
Se1 Se 0.000 0.000 0.500
Se2 Se 0.077 0.287 0.132
Se3 Se 0.093 0.726 0.365
# raw total energy	-0.23083	Ha/atom
# crystal system	tetragonal
# uncorrected formation energy	-1003	meV per atom
# total magnetic moment	0.41	μB per atom

***

# Ac2SmErSe4 (PBE, relaxed)
data_Ac2SmErSe4
_chemical_formula_sum 'Ac2 Sm1 Er1 Se4'
_symmetry_space_group_name_H-M 'P 1 2/m 1'
_symmetry_Int_Tables_number 10
_symmetry_space_group_name_Hall '-P 2y'
_cell_length_a 7.266
_cell_length_b 4.168
_cell_length_c 7.733
_cell_angle_alpha 90.00
_cell_angle_beta 108.08
_cell_angle_gamma 90.00
loop_
_atom_site_label
_atom_site_type_symbol
_atom_site_fract_x
_atom_site_fract_y
_atom_site_fract_z
Ac1 Ac 0.000 0.000 0.000
Ac2 Ac 0.500 0.500 0.000
Sm1 Sm 0.000 0.500 0.500
Er1 Er 0.500 0.000 0.500
Se1 Se 0.247 0.000 0.724
Se2 Se 0.267 0.500 0.280
# raw total energy	-0.21065	Ha/atom
# crystal system	monoclinic
# uncorrected formation energy	-1802	meV per atom
# total magnetic moment	0.00	μB per atom

***

# Pu2AgPd (PBE, relaxed)
data_Pu2AgPd
_chemical_formula_sum 'Pu6 Ag3 Pd3'
_symmetry_space_group_name_H-M 'R -3 m'
_symmetry_Int_Tables_number 166
_symmetry_space_group_name_Hall '-R 3 2"'
_cell_length_a 2.9517
_cell_length_b 2.9517
_cell_length_c 33.4957
_cell_angle_alpha 90.00
_cell_angle_beta 90.00
_cell_angle_gamma 120.00
loop_
_atom_site_label
_atom_site_type_symbol
_atom_site_fract_x
_atom_site_fract_y
_atom_site_fract_z
Pu1 Pu 0.0000 0.0000 0.0910
Ag1 Ag 0.0000 0.0000 0.0000
Pd1 Pd 0.0000 0.0000 0.5000
# raw total energy	-0.33165	Ha/atom
# crystal system	trigonal
# relative energy among the computed polymorphs	0.312	eV/atom
# energy of formation	0.61	eV per formula unit
# total magnetic moment	2.59	μB per atom